# 1
Here is crystalline CePrErSe3 at its relaxed geometry from the Alexandria database. Energies are from PBE-GGA.

The space group is P2_1/m (No. 11) and the conventional cell measures 8.0883, 4.0906 and 10.4452 Å, with angles of 90.00, 103.11 and 90.00 degrees. The distinct sites, in fractional coordinates, are Ce at (0.1756, 0.2500, 0.1174), Pr at (0.1826, 0.2500, 0.7038), Er at (0.3356, 0.7500, 0.4029), Se at (0.0961, 0.2500, 0.3931), Se at (0.2092, 0.7500, 0.9248) and Se at (0.4683, 0.7500, 0.6817).

The total magnetic moment comes out at 3.97 Bohr magnetons per cell. The value obtained for the uncorrected formation energy is -1.59 eV/atom.


# 2
Here is crystalline V2NiRh at its relaxed geometry from the Alexandria database. Energies are from PBE-GGA.

The space group is I-42d (No. 122) and the conventional cell measures 3.6538, 3.6538 and 16.7809 Å, with angles of 90.00, 90.00 and 90.00 degrees. The distinct sites, in fractional coordinates, are V at (0.2391, 0.2500, 0.1250), Ni at (0.0000, 0.0000, 0.0000) and Rh at (0.0000, 0.0000, 0.5000).

The formation energy from the elements comes out at 242 meV/atom. The total magnetic moment comes out at 0.00 Bohr magnetons per cell.


# 3
Here is crystalline K3Rb3ScI8 at its relaxed geometry from the Alexandria database. Energies are from PBE-GGA.

The space group is C2/m (No. 12) and the conventional cell measures 17.5231, 10.1495 and 10.2930 Å, with angles of 90.00, 124.46 and 90.00 degrees. The distinct sites, in fractional coordinates, are K at (0.0000, 0.0000, 0.0000), K at (0.2500, 0.2500, 0.0000), Rb at (0.0000, 0.5000, 0.5000), Rb at (0.2500, 0.2500, 0.5000), Sc at (0.0000, 0.5000, 0.0000), I at (0.0030, 0.2851, 0.7944), I at (0.2117, 0.5000, 0.2056) and I at (0.2460, 0.0000, 0.2380).

The total magnetic moment comes out at 2.00 Bohr magnetons per cell. The value obtained for the uncorrected formation energy is -1.38 eV/atom.


# 4
Here is crystalline La9Pm2Nd at its relaxed geometry from the Alexandria database. Energies are from PBE-GGA.

The space group is P4/mmm (No. 123) and the conventional cell measures 5.2402, 5.2402 and 15.7028 Å, with angles of 90.00, 90.00 and 90.00 degrees. The distinct sites, in fractional coordinates, are La at (0.0000, 0.0000, 0.0000), La at (0.0000, 0.0000, 0.3335), La at (0.0000, 0.5000, 0.1670), La at (0.0000, 0.5000, 0.5000), Pm at (0.5000, 0.5000, 0.3335) and Nd at (0.5000, 0.5000, 0.0000).

The formation energy from the elements comes out at 4 meV/atom. The total magnetic moment comes out at 0.00 Bohr magnetons per cell.


# 5
Here is crystalline BaCaCl2 at its relaxed geometry from the Alexandria database. Energies are from PBE-GGA.

The space group is I4/mmm (No. 139) and the conventional cell measures 5.2502, 5.2502 and 8.6715 Å, with angles of 90.00, 90.00 and 90.00 degrees. The distinct sites, in fractional coordinates, are Ba at (0.0000, 0.0000, 0.0000), Ca at (0.0000, 0.0000, 0.5000) and Cl at (0.0000, 0.5000, 0.2500).

The total magnetic moment comes out at 0.00 Bohr magnetons per cell. The value obtained for the uncorrected formation energy is -1.34 eV/atom. The energy above the most stable polymorph in this dataset comes out at 355.5 meV/atom.


# 6
Here is crystalline Tb3CuNi8 at its relaxed geometry from the Alexandria database. Energies are from PBE-GGA.

The space group is P3m1 (No. 156) and the conventional cell measures 4.9831, 4.9831 and 8.1593 Å, with angles of 90.00, 90.00 and 120.00 degrees. The distinct sites, in fractional coordinates, are Tb at (0.0000, 0.0000, 0.0000), Tb at (0.0000, 0.0000, 0.3891), Tb at (0.3333, 0.6667, 0.8272), Cu at (0.3333, 0.6667, 0.4650), Ni at (0.0031, 0.5015, 0.1850), Ni at (0.3363, 0.1682, 0.6783), Ni at (0.6667, 0.3333, 0.4313) and Ni at (0.6667, 0.3333, 0.9349).

The formation energy from the elements comes out at -353 meV/atom. The total magnetic moment comes out at 0.00 Bohr magnetons per cell. The energy above the most stable polymorph in this dataset comes out at 17.7 meV/atom.


# 7
Here is crystalline Tm12In6Fe at its relaxed geometry from the Alexandria database. Energies are from PBE-GGA.

The space group is R-3 (No. 148, hexagonal axes) and the conventional cell measures 11.9474, 11.9474 and 12.9982 Å, with angles of 90.00, 90.00 and 120.00 degrees. The distinct sites, in fractional coordinates, are Tm at (0.0361, 0.8506, 0.3908), Tm at (0.0377, 0.1831, 0.8738), In at (0.0044, 0.6079, 0.2604) and Fe at (0.0000, 0.0000, 0.0000).

The formation energy from the elements comes out at -150 meV/atom. The total magnetic moment comes out at 0.00 Bohr magnetons per cell.


# 8
Here is crystalline SnHPd3 at its relaxed geometry from the Alexandria database. Energies are from PBE-GGA.

The space group is Cmce (No. 64) and the conventional cell measures 8.5611, 13.7333 and 5.0655 Å, with angles of 90.00, 90.00 and 90.00 degrees. The distinct sites, in fractional coordinates, are Sn at (0.2500, 0.1771, 0.2500), H at (0.0000, 0.0589, 0.6918), Pd at (0.0000, 0.0935, 0.0423), Pd at (0.0000, 0.1971, 0.5739) and Pd at (0.1672, 0.0000, 0.5000).

The total magnetic moment comes out at 0.00 Bohr magnetons per cell. The energy above the most stable polymorph in this dataset comes out at 137.0 meV/atom.


# 9
Here is crystalline HgSbCI2 at its relaxed geometry from the Alexandria database. Energies are from PBE-GGA.

The space group is P4/mmm (No. 123) and the conventional cell measures 5.9409, 5.9409 and 5.6142 Å, with angles of 90.00, 90.00 and 90.00 degrees. The distinct sites, in fractional coordinates, are Hg at (0.0000, 0.0000, 0.0000), Sb at (0.0000, 0.0000, 0.5000), C at (0.5000, 0.5000, 0.5000) and I at (0.0000, 0.5000, 0.0000).

The total magnetic moment comes out at 2.27 Bohr magnetons per cell. The value obtained for the uncorrected formation energy is 1.82 eV/atom. The energy above the most stable polymorph in this dataset comes out at 801.5 meV/atom.


# 10
Here is crystalline TbHoAg2 at its relaxed geometry from the Alexandria database. Energies are from PBE-GGA.

The space group is P4/mmm (No. 123) and the conventional cell measures 3.6202, 3.6202 and 7.3357 Å, with angles of 90.00, 90.00 and 90.00 degrees. The distinct sites, in fractional coordinates, are Tb at (0.0000, 0.0000, 0.0000), Ho at (0.0000, 0.0000, 0.5000) and Ag at (0.5000, 0.5000, 0.2553).

The formation energy from the elements comes out at -320 meV/atom. The total magnetic moment comes out at 0.00 Bohr magnetons per cell.


# 11
Here is crystalline PrNd2InH at its relaxed geometry from the Alexandria database. Energies are from PBE-GGA.

The space group is P4/mmm (No. 123) and the conventional cell measures 5.0380, 5.0380 and 5.0167 Å, with angles of 90.00, 90.00 and 90.00 degrees. The distinct sites, in fractional coordinates, are Pr at (0.0000, 0.0000, 0.0000), Nd at (0.0000, 0.5000, 0.5000), In at (0.5000, 0.5000, 0.0000) and H at (0.0000, 0.0000, 0.5000).

The total magnetic moment comes out at 1.11 Bohr magnetons per cell. As for the total energy: -4.44 eV per atom.


# 12
Here is crystalline CsGaP3 at its relaxed geometry from the Alexandria database. Energies are from PBE-GGA.

The space group is Pm-3m (No. 221) and the conventional cell measures 4.9902, 4.9902 and 4.9902 Å, with angles of 90.00, 90.00 and 90.00 degrees. The distinct sites, in fractional coordinates, are Cs at (0.0000, 0.0000, 0.0000), Ga at (0.5000, 0.5000, 0.5000) and P at (0.0000, 0.5000, 0.5000).

The formation energy from the elements comes out at 578 meV/atom. The total magnetic moment comes out at 0.00 Bohr magnetons per cell. The energy above the most stable polymorph in this dataset comes out at 0.0 meV/atom.


Please write out number 9 again, unchanged.
Here is crystalline HgSbCI2 at its relaxed geometry from the Alexandria database. Energies are from PBE-GGA.

The space group is P4/mmm (No. 123) and the conventional cell measures 5.9409, 5.9409 and 5.6142 Å, with angles of 90.00, 90.00 and 90.00 degrees. The distinct sites, in fractional coordinates, are Hg at (0.0000, 0.0000, 0.0000), Sb at (0.0000, 0.0000, 0.5000), C at (0.5000, 0.5000, 0.5000) and I at (0.0000, 0.5000, 0.0000).

The total magnetic moment comes out at 2.27 Bohr magnetons per cell. The value obtained for the uncorrected formation energy is 1.82 eV/atom. The energy above the most stable polymorph in this dataset comes out at 801.5 meV/atom.


> Which of these has the highest total magnetic moment?

CePrErSe3